Computed, not measured: a PBEsol-optimized structure of NbAs2RuBr at the meta-GGA SCAN level of DFT.

## Properties
The energy relative to the elements, uncorrected comes out at 0.9134 eV/atom.

The structure in CIF format:
```
data_NbAs2RuBr
_space_group_name_H-M_alt 'P 4/m m m'
_space_group_IT_number 123
_space_group_name_Hall '-P 4 2'
_cell_length_a 4.934
_cell_length_b 4.934
_cell_length_c 4.991
_cell_angle_alpha 90.00
_cell_angle_beta 90.00
_cell_angle_gamma 90.00
loop_
_atom_site_label
_atom_site_type_symbol
_atom_site_fract_x
_atom_site_fract_y
_atom_site_fract_z
Nb1 Nb 0.000 0.000 0.000
As1 As 0.000 0.500 0.000
Ru1 Ru 0.500 0.500 0.500
Br1 Br 0.000 0.000 0.500
```



Computed, not measured: a PBEsol-optimized structure of CuAgP2S at the meta-GGA SCAN level of DFT.

## Properties
The energy relative to the elements, uncorrected comes out at 0.8625 eV/atom.

The structure in CIF format:
```
data_CuAgP2S
_space_group_name_H-M_alt 'P 4/m m m'
_space_group_IT_number 123
_space_group_name_Hall '-P 4 2'
_cell_length_a 4.399
_cell_length_b 4.399
_cell_length_c 4.636
_cell_angle_alpha 90.00
_cell_angle_beta 90.00
_cell_angle_gamma 90.00
loop_
_atom_site_label
_atom_site_type_symbol
_atom_site_fract_x
_atom_site_fract_y
_atom_site_fract_z
Cu1 Cu 0.000 0.000 0.000
Ag1 Ag 0.500 0.500 0.500
P1 P 0.000 0.500 0.000
S1 S 0.000 0.000 0.500
```



Computed, not measured: a PBEsol-optimized structure of KBa2Re at the meta-GGA SCAN level of DFT.

## Properties
The polymorph energy (0 for the lowest one) comes out at 0 meV per atom. The formation energy comes out at 1.04 eV per atom.

The structure in CIF format:
```
data_KBa2Re
_space_group_name_H-M_alt 'I m m 2'
_space_group_IT_number 44
_cell_length_a 3.523
_cell_length_b 5.266
_cell_length_c 18.230
_cell_angle_alpha 90.00
_cell_angle_beta 90.00
_cell_angle_gamma 90.00
loop_
_space_group_symop_operation_xyz
'x,y,z'
'-x,-y,z'
'-x,y,z'
'x,-y,z'
'x+1/2,y+1/2,z+1/2'
'-x+1/2,-y+1/2,z+1/2'
'-x+1/2,y+1/2,z+1/2'
'x+1/2,-y+1/2,z+1/2'
loop_
_atom_site_label
_atom_site_type_symbol
_atom_site_fract_x
_atom_site_fract_y
_atom_site_fract_z
K1 K 0.000 0.000 0.000
Ba1 Ba 0.000 0.000 0.687
Ba2 Ba 0.000 0.500 0.845
Re1 Re 0.000 0.500 0.326
```



Computed, not measured: a PBEsol-optimized structure of RbCaRe2Bi at the meta-GGA SCAN level of DFT.

## Properties
The formation energy comes out at 2.54 eV per atom.

The structure in CIF format:
```
data_RbCaRe2Bi
_space_group_name_H-M_alt 'P 4/m m m'
_space_group_IT_number 123
_space_group_name_Hall '-P 4 2'
_cell_length_a 4.943
_cell_length_b 4.943
_cell_length_c 5.229
_cell_angle_alpha 90.00
_cell_angle_beta 90.00
_cell_angle_gamma 90.00
loop_
_atom_site_label
_atom_site_type_symbol
_atom_site_fract_x
_atom_site_fract_y
_atom_site_fract_z
Rb1 Rb 0.000 0.000 0.000
Ca1 Ca 0.000 0.000 0.500
Re1 Re 0.000 0.500 0.500
Bi1 Bi 0.500 0.500 0.000
```



Computed, not measured: a PBEsol-optimized structure of MgHAu2 at the meta-GGA SCAN level of DFT.

## Properties
The calculated total energy comes out at -36.83 eV/atom.

The structure in CIF format:
```
data_MgHAu2
_space_group_name_H-M_alt 'I -4 2 d'
_space_group_IT_number 122
_space_group_name_Hall 'I -4 2bw'
_cell_length_a 6.550
_cell_length_b 6.550
_cell_length_c 5.256
_cell_angle_alpha 90.00
_cell_angle_beta 90.00
_cell_angle_gamma 90.00
loop_
_atom_site_label
_atom_site_type_symbol
_atom_site_fract_x
_atom_site_fract_y
_atom_site_fract_z
Mg1 Mg 0.000 0.000 0.000
H1 H 0.000 0.000 0.500
Au1 Au 0.156 0.750 0.625
```



Computed, not measured: a PBEsol-optimized structure of RbFeMo2Pb at the meta-GGA SCAN level of DFT.

## Properties
The formation energy comes out at 1.36 eV per atom.

The structure in CIF format:
```
data_RbFeMo2Pb
_space_group_name_H-M_alt 'P 4/m m m'
_space_group_IT_number 123
_space_group_name_Hall '-P 4 2'
_cell_length_a 4.696
_cell_length_b 4.696
_cell_length_c 5.042
_cell_angle_alpha 90.00
_cell_angle_beta 90.00
_cell_angle_gamma 90.00
loop_
_atom_site_label
_atom_site_type_symbol
_atom_site_fract_x
_atom_site_fract_y
_atom_site_fract_z
Rb1 Rb 0.000 0.000 0.000
Fe1 Fe 0.500 0.500 0.500
Mo1 Mo 0.000 0.500 0.500
Pb1 Pb 0.500 0.500 0.000
```



Computed, not measured: a PBEsol-optimized structure of Fe2Co at the meta-GGA SCAN level of DFT.

## Properties
The formation energy comes out at -0.11 eV per atom.

The structure in CIF format:
```
data_Fe2Co
_space_group_name_H-M_alt 'P 4/n m m'
_space_group_IT_number 129
_cell_length_a 2.781
_cell_length_b 2.781
_cell_length_c 8.425
_cell_angle_alpha 90.00
_cell_angle_beta 90.00
_cell_angle_gamma 90.00
loop_
_space_group_symop_operation_xyz
'x,y,z'
'-x,-y,-z'
'-y+1/2,x,z'
'y+1/2,-x,-z'
'-x+1/2,-y+1/2,z'
'x+1/2,y+1/2,-z'
'y,-x+1/2,z'
'-y,x+1/2,-z'
'x+1/2,-y,-z'
'-x+1/2,y,z'
'-y,-x,-z'
'y,x,z'
'-x,y+1/2,-z'
'x,-y+1/2,z'
'y+1/2,x+1/2,-z'
'-y+1/2,-x+1/2,z'
loop_
_atom_site_label
_atom_site_type_symbol
_atom_site_fract_x
_atom_site_fract_y
_atom_site_fract_z
Fe1 Fe 0.250 0.250 0.082
Fe2 Fe 0.250 0.250 0.748
Co1 Co 0.250 0.250 0.414
```



Computed, not measured: a PBEsol-optimized structure of Be2Hg2B at the meta-GGA SCAN level of DFT.

## Properties
The formation energy comes out at 0.99 eV per atom.

The structure in CIF format:
```
data_Be2Hg2B
_space_group_name_H-M_alt 'P 4/m b m'
_space_group_IT_number 127
_space_group_name_Hall '-P 4 2ab'
_cell_length_a 6.266
_cell_length_b 6.266
_cell_length_c 3.700
_cell_angle_alpha 90.00
_cell_angle_beta 90.00
_cell_angle_gamma 90.00
loop_
_atom_site_label
_atom_site_type_symbol
_atom_site_fract_x
_atom_site_fract_y
_atom_site_fract_z
Be1 Be 0.126 0.374 0.000
Hg1 Hg 0.176 0.676 0.500
B1 B 0.000 0.000 0.500
```